# 1
DFT (PBE-GGA) results for a relaxed structure of TmTi2V.

formation energy from the elements = 0.1428 eV per atom
uncorrected energy = -28.81 eV/f.u.

The structure in POSCAR format:
```
TmTi2V
1.0
3.3156 0.0000 0.0000
0.0000 3.3156 0.0000
0.0000 0.0000 6.9404
Tm Ti V
1 2 1
Cartesian
1.6578 1.6578 3.4702
0.0000 0.0000 5.6070
0.0000 0.0000 1.3334
1.6578 1.6578 0.0000
```

# 2
DFT (PBE-GGA) results for a relaxed structure of BaCa2Tl.

relative energy among the computed polymorphs = 298 meV/atom
formation energy from the elements = 0.0451 eV per atom
uncorrected energy = -8.11 eV/f.u.

The structure in POSCAR format:
```
BaCa2Tl
1.0
5.1404 0.0000 0.0000
0.0000 5.1404 0.0000
2.5702 2.5702 12.6121
Tl Ca Ba
2 4 2
Cartesian
0.0000 0.0000 0.0000
5.1404 2.5702 6.3061
3.9873 1.2851 3.1530
1.1531 3.8553 3.1530
3.8553 3.7233 9.4591
6.4255 6.5575 9.4591
2.5702 2.5702 0.0000
2.5702 5.1404 6.3061
```

# 3
DFT (PBE-GGA) results for a relaxed structure of In2TeCl.

E_form (uncorrected) = -9.3 kcal/mol of atoms
relative energy among the computed polymorphs = 144 meV/atom
uncorrected energy = -12.07 eV/f.u.

The structure in POSCAR format:
```
In2TeCl
1.0
7.6517 -0.0233 0.0000
5.2403 5.5756 0.0000
-6.4460 -2.7762 3.0480
Cl Te In
1 1 2
Cartesian
3.8258 -0.0116 1.5240
6.4460 2.7762 0.0000
0.0000 0.0000 0.0000
2.6202 2.7878 1.5240
```

# 4
DFT (PBE-GGA) results for a relaxed structure of AcCuSe2O6.

E_form (uncorrected) = -31.9 kcal/mol of atoms
uncorrected energy = -58.74 eV/f.u.

The structure in POSCAR format:
```
AcCuSe2O6
1.0
5.3744 0.0000 0.0000
2.6872 4.6544 0.0000
2.6872 1.5515 6.2379
Ac Cu Se O
1 1 2 6
Cartesian
0.0000 0.0000 0.0000
5.3744 3.1029 3.1190
8.0616 4.6544 3.9426
2.6872 1.5515 2.2954
3.5990 3.3789 4.6960
6.0231 1.4273 4.6960
4.2477 1.7033 1.5420
7.1498 2.8269 1.5420
4.7257 4.7785 1.5420
6.5011 4.5025 4.6960
```

# 5
DFT (PBE-GGA) results for a relaxed structure of Be3Tl.

relative energy among the computed polymorphs = 261 meV/atom
formation energy from the elements = 0.6174 eV per atom
uncorrected energy = -11.08 eV/f.u.

The structure in POSCAR format:
```
Be3Tl
1.0
-1.5712 1.3574 -1.7772
2.1792 -1.0429 -2.7232
-3.2022 -4.7033 -0.7613
Be Tl
3 1
Cartesian
-2.8675 -4.2116 -0.6817
-2.7388 -2.1901 -1.3529
-2.4166 -3.8387 -2.8970
0.0917 -1.9871 -1.5988
```

# 6
DFT (PBE-GGA) results for a relaxed structure of DyHo2Sb2.

E_form (uncorrected) = -19.5 kcal/mol of atoms
uncorrected energy = -26.23 eV/f.u.

The structure in POSCAR format:
```
DyHo2Sb2
1.0
8.0805 0.0000 -0.9028
0.0000 7.5133 0.0000
-2.7826 0.0000 9.5242
Dy Ho Sb
4 8 8
Cartesian
2.5863 2.3796 3.3296
2.7116 5.1337 5.2918
6.6265 1.3771 2.8782
-1.3286 6.1362 5.7432
4.1033 1.3813 0.5279
0.0631 2.3753 0.9793
5.2348 5.1380 7.6421
1.1946 6.1319 8.0935
5.3611 4.7074 1.7015
1.3208 6.5625 2.1529
3.9771 0.9507 6.4685
-0.0632 2.8059 6.9199
6.5472 7.1612 0.0778
2.5070 4.1087 0.5292
2.7909 3.4045 8.0922
-1.2493 0.3521 8.5436
5.1647 3.3994 4.8540
1.1245 0.3572 5.3054
4.1734 7.1561 3.3160
0.1332 4.1138 3.7674
```

# 7
DFT (PBE-GGA) results for a relaxed structure of Th6Ge2PbSe3.

E_form (uncorrected) = -25.3 kcal/mol of atoms
uncorrected energy = -81.06 eV/f.u.

The structure in POSCAR format:
```
Th6Ge2PbSe3
1.0
-0.1079 2.7821 -3.3342
3.0563 -6.1015 -5.1901
-9.1384 -2.7234 0.8529
Th Ge Pb Se
6 2 1 3
Cartesian
-3.2338 -6.3995 -5.2352
-1.3866 -2.5896 -4.9455
-2.9562 0.3568 -2.4363
0.7406 -1.6481 -1.3991
-6.9306 -4.3947 -6.2723
-4.8034 -3.4532 -2.7260
-4.1258 -3.5597 -5.6664
-2.0642 -2.4830 -2.0051
-0.0539 1.3911 -1.6671
1.4742 -1.6597 -4.2622
-5.7553 -0.5363 -3.0909
-0.4347 -5.5064 -4.5806
```

# 8
DFT (PBE-GGA) results for a relaxed structure of Er2MgGa3.

formation energy from the elements = -0.5016 eV per atom
uncorrected energy = -22.81 eV/f.u.

The structure in POSCAR format:
```
Er2MgGa3
1.0
5.5987 0.1909 -1.3305
-2.0243 5.2234 -1.3305
-0.1504 -0.2278 8.5739
Er Mg Ga
4 2 6
Cartesian
-0.1937 3.8514 2.9564
2.6950 4.0823 -2.0064
3.6178 1.3352 2.9564
0.8794 1.3320 -0.6547
1.0895 1.6504 4.8214
2.3345 3.5362 1.0914
3.2962 0.7992 6.0536
3.9843 1.8415 -0.1408
0.1278 4.3874 -0.1408
-0.5602 3.3451 6.0536
2.8871 4.3733 3.5370
0.5369 0.8133 2.3759
```

# 9
DFT (PBE-GGA) results for a relaxed structure of CePrPaN3.

E_form (uncorrected) = -31.3 kcal/mol of atoms
uncorrected energy = -53.32 eV/f.u.

The structure in POSCAR format:
```
CePrPaN3
1.0
3.4767 0.0000 0.0000
0.0000 5.9699 0.4575
0.0000 -1.1368 9.6366
Ce Pr Pa N
2 2 2 6
Cartesian
0.8692 1.2863 2.6309
2.6075 3.5467 7.4632
0.8692 0.5488 6.0565
2.6075 4.2842 4.0376
0.8692 4.4324 0.8878
2.6075 0.4006 9.2063
2.6075 -0.1075 1.2578
0.8692 4.9406 8.8363
0.8692 3.9992 5.8873
2.6075 0.8339 4.2068
2.6075 2.9043 1.5216
0.8692 1.9287 8.5725
```

# 10
DFT (PBE-GGA) results for a relaxed structure of TcSnPbO6.

E_form (uncorrected) = -29.3 kcal/mol of atoms
uncorrected energy = -59.26 eV/f.u.

The structure in POSCAR format:
```
TcSnPbO6
1.0
-2.5049 3.1136 -2.8676
-4.1964 -2.2636 1.2077
-1.1227 6.1913 7.7031
Tc Sn Pb O
2 2 2 12
Cartesian
-3.5385 1.4608 0.4588
-0.7492 4.1315 5.1403
-4.2862 5.5843 5.5891
-0.3742 2.0637 2.5676
-3.9115 3.5179 3.0181
-1.1222 6.1885 7.6996
-4.4749 1.8131 4.4196
-3.3679 5.3320 1.7526
-2.2021 0.3300 -0.4786
-4.5180 0.6237 -1.0523
-4.0285 0.0474 1.7134
-3.0816 3.0574 -0.5679
-2.6414 4.4610 4.7896
-5.5915 4.8352 4.0589
-3.7491 7.0589 4.1758
-4.7697 3.8143 6.6349
-5.0270 2.5095 1.2246
-2.3692 2.1724 1.8830
```